! Zn2Pd GGA-PBE relaxed; values from VASP
! Total energy ... -8.8 eV/f.u.
! Volume ... 14.5 A^3/atom
! E_form ... -359.5 meV per atom
&SYSTEM
  ibrav = 0, nat = 6, ntyp = 2
/
ATOMIC_SPECIES
Zn 65.41 Zn.upf
Pd 106.42 Pd.upf
ATOMIC_POSITIONS crystal
Zn 0.0000 0.0000 0.0000
Zn 0.0000 0.3355 0.5000
Zn 0.3355 0.0000 0.5000
Zn 0.6645 0.6645 0.5000
Pd 0.3333 0.6667 0.0000
Pd 0.6667 0.3333 0.0000
CELL_PARAMETERS angstrom
4.8550 0.0000 0.0000
-2.4275 4.2045 0.0000
0.0000 0.0000 4.2702

---

! ZnPd18 GGA-PBE relaxed; values from VASP
! Total energy ... -93.6 eV/f.u.
! Energy relative to the lowest polymorph listed for this composition ... 27 meV per atom
! Volume ... 23.4 A^3/atom
! E_form ... 41.0 meV per atom
&SYSTEM
  ibrav = 0, nat = 38, ntyp = 2
/
ATOMIC_SPECIES
Zn 65.41 Zn.upf
Pd 106.42 Pd.upf
ATOMIC_POSITIONS crystal
Zn 0.1250 0.2500 0.3205
Zn 0.8750 0.7500 0.6795
Pd 0.1250 0.2500 0.0519
Pd 0.1250 0.2500 0.1211
Pd 0.1250 0.2500 0.1899
Pd 0.1250 0.2500 0.2585
Pd 0.1250 0.2500 0.9135
Pd 0.1250 0.2500 0.9827
Pd 0.1256 0.2500 0.7044
Pd 0.1256 0.2500 0.8442
Pd 0.1271 0.2500 0.7750
Pd 0.3750 0.7500 0.0173
Pd 0.3750 0.7500 0.0865
Pd 0.3751 0.7500 0.7385
Pd 0.3750 0.7500 0.8092
Pd 0.3750 0.7500 0.8788
Pd 0.3750 0.7500 0.9481
Pd 0.3757 0.7500 0.1557
Pd 0.3756 0.7500 0.2956
Pd 0.3771 0.7500 0.2250
Pd 0.6229 0.2500 0.7750
Pd 0.6244 0.2500 0.7044
Pd 0.6243 0.2500 0.8443
Pd 0.6250 0.2500 0.0519
Pd 0.6250 0.2500 0.1212
Pd 0.6250 0.2500 0.1908
Pd 0.6249 0.2500 0.2615
Pd 0.6250 0.2500 0.9135
Pd 0.6250 0.2500 0.9827
Pd 0.8729 0.7500 0.2250
Pd 0.8744 0.7500 0.1558
Pd 0.8744 0.7500 0.2956
Pd 0.8750 0.7500 0.0173
Pd 0.8750 0.7500 0.0865
Pd 0.8750 0.7500 0.7415
Pd 0.8750 0.7500 0.8101
Pd 0.8750 0.7500 0.8789
Pd 0.8750 0.7500 0.9481
CELL_PARAMETERS angstrom
5.6011 0.0000 0.0000
0.0000 3.8739 0.0000
-0.0006 0.0000 40.9080

---

! ZnPd15 GGA-PBE relaxed; values from VASP
! Total energy ... -78.2 eV/f.u.
! Energy relative to the lowest polymorph listed for this composition ... 49 meV per atom
! Volume ... 24.7 A^3/atom
! E_form ... 40.5 meV per atom
&SYSTEM
  ibrav = 0, nat = 32, ntyp = 2
/
ATOMIC_SPECIES
Zn 65.41 Zn.upf
Pd 106.42 Pd.upf
ATOMIC_POSITIONS crystal
Zn 0.1249 0.2500 0.2159
Zn 0.8751 0.7500 0.7841
Pd 0.1162 0.2500 0.7549
Pd 0.1240 0.2500 0.6745
Pd 0.1250 0.2500 0.2877
Pd 0.1250 0.2500 0.3652
Pd 0.1252 0.2500 0.4423
Pd 0.1257 0.2500 0.5194
Pd 0.1257 0.2500 0.5967
Pd 0.3661 0.7500 0.2451
Pd 0.3741 0.7500 0.3255
Pd 0.3751 0.7500 0.5584
Pd 0.3749 0.7500 0.6364
Pd 0.3751 0.7500 0.7134
Pd 0.3750 0.7500 0.7880
Pd 0.3758 0.7500 0.4032
Pd 0.3758 0.7500 0.4806
Pd 0.6242 0.2500 0.5194
Pd 0.6242 0.2500 0.5968
Pd 0.6250 0.2500 0.2120
Pd 0.6249 0.2500 0.2866
Pd 0.6251 0.2500 0.3636
Pd 0.6249 0.2500 0.4416
Pd 0.6259 0.2500 0.6745
Pd 0.6339 0.2500 0.7549
Pd 0.8743 0.7500 0.4033
Pd 0.8743 0.7500 0.4806
Pd 0.8748 0.7500 0.5577
Pd 0.8750 0.7500 0.6348
Pd 0.8750 0.7500 0.7123
Pd 0.8760 0.7500 0.3255
Pd 0.8838 0.7500 0.2451
CELL_PARAMETERS angstrom
7.8459 0.0000 0.0000
0.0000 2.7812 0.0000
-0.0014 0.0000 36.2660